No. 1
This record from Alexandria describes a relaxed structure of SrTlZn. The functional is PBEsol.

Structure (extended XYZ):
```
3
Lattice="5.178 0.000 0.000 2.589 4.484 0.000 2.589 1.495 4.227" Properties=species:S:1:pos:R:3 pbc="T T T"
Zn 5.178 2.989 2.114
Tl 0.000 0.000 0.000
Sr 2.589 1.495 1.057
```

Values from the calculation:
- space group = F-43m
- ΔH_f (0 K) (eV/atom) = 0.257

No. 2
This record from Alexandria describes a relaxed structure of AlAgCl2. The functional is PBEsol.

Structure (extended XYZ):
```
4
Lattice="3.076 0.000 0.000 -1.538 5.816 -0.369 0.000 -3.337 5.568" Properties=species:S:1:pos:R:3 pbc="T T T"
Al 0.000 0.055 4.666
Ag 1.538 -1.326 3.121
Cl 1.538 1.845 4.539
Cl 1.538 2.716 0.857
```

Values from the calculation:
- space group = Cm
- formation energy (no corrections) (eV/atom) = -0.624
- polymorph energy (0 for the lowest one) (meV/atom) = 0.0

No. 3
This record from Alexandria describes a relaxed structure of NbSnTeN2. The functional is PBEsol.

Structure (extended XYZ):
```
5
Lattice="4.097 0.000 0.000 0.000 4.097 0.000 0.000 0.000 5.728" Properties=species:S:1:pos:R:3 pbc="T T T"
Sn 0.000 0.000 0.000
N 0.000 2.048 0.000
Te 0.000 0.000 2.864
N 2.048 0.000 0.000
Nb 2.048 2.048 2.864
```

Values from the calculation:
- space group = P4/mmm
- formation energy (no corrections) (eV/atom) = 1.438

No. 4
This record from Alexandria describes a relaxed structure of Li5Cu. The functional is PBEsol.

Structure (extended XYZ):
```
6
Lattice="-0.774 1.365 2.443 -4.677 -0.991 -2.654 1.732 -5.585 3.669" Properties=species:S:1:pos:R:3 pbc="T T T"
Li -3.661 -1.444 -0.354
Cu -0.133 -0.120 0.025
Li 0.695 -3.316 2.073
Li -0.680 -4.649 4.107
Li -1.648 -1.323 1.942
Li -2.255 -4.329 1.704
```

Values from the calculation:
- space group = Cm
- ΔH_f (0 K) (eV/atom) = 0.038
- polymorph energy (0 for the lowest one) (meV/atom) = 8.9

no.,total energy (eV per atom)
1,-1.76
2,-3.48
3,-5.69
4,-2.32